No. 1
The following is a PBE calculation of a relaxed MgZnSCl2 crystal, from Alexandria via LeMat-Bulk.

```
5
Lattice="-2.645 -3.856 0.303 3.173 -2.373 -2.502 2.507 -1.368 4.476" Properties=species:S:1:pos:R:3 pbc="T T T"
Zn 1.517 -3.799 1.138
Mg 0.000 0.000 0.000
Cl -1.323 -1.928 0.151
Cl 1.586 -1.187 -1.251
S 1.253 -0.684 2.238
```

Properties
The energy relative to the elements, uncorrected comes out at -0.56 eV/atom. The value obtained for the density is 2.744 g/cm³. The value obtained for the magnetization is 0.0 μB/cell.


No. 2
The following is a PBE calculation of a relaxed HfTa2Fe crystal, from Alexandria via LeMat-Bulk.

```
8
Lattice="-2.246 0.014 2.070 3.115 -0.645 3.385 2.096 9.895 -0.045" Properties=species:S:1:pos:R:3 pbc="T T T"
Fe 1.892 6.435 4.265
Ta 0.846 0.520 0.914
Ta 0.139 4.760 2.372
Ta 2.826 4.504 3.037
Hf 1.522 7.398 1.602
Fe 1.073 2.829 1.145
Ta 2.119 8.744 4.495
Hf 1.443 1.866 3.808
```

Properties
The value obtained for the density is 13.959 g/cm³. The value obtained for the magnetization is 0.0 μB/cell. For the energy of formation, the calculation gives 0.101 eV per atom.


No. 3
The following is a PBE calculation of a relaxed Dy2Ga3CuIr4 crystal, from Alexandria via LeMat-Bulk.

```
10
Lattice="4.119 0.000 0.000 0.000 4.119 0.000 0.000 0.000 10.587" Properties=species:S:1:pos:R:3 pbc="T T T"
Dy 0.000 2.060 7.978
Ga 2.060 0.000 9.194
Ga 0.000 2.060 1.393
Ga 0.000 0.000 5.294
Ir 0.000 2.060 3.823
Dy 2.060 0.000 2.609
Ir 2.060 0.000 6.764
Ir 0.000 0.000 0.000
Cu 2.060 2.060 5.294
Ir 2.060 2.060 0.000
```

Properties
The value obtained for the density is 12.633 g/cm³. The value obtained for the magnetization is 0.0 μB/cell. For the energy of formation, the calculation gives -0.606 eV per atom.


No. 4
The following is a PBE calculation of a relaxed Sm3YPa3N8 crystal, from Alexandria via LeMat-Bulk.

```
15
Lattice="-1.143 -6.690 -1.846 4.356 1.486 5.319 -6.924 0.977 0.748" Properties=species:S:1:pos:R:3 pbc="T T T"
N -1.513 -2.772 4.339
Sm 1.606 -2.602 1.736
Pa -4.034 -2.856 -0.549
Sm 2.178 0.743 2.659
N -3.780 -3.536 1.759
Sm 0.000 0.000 0.000
Y -3.462 0.489 0.374
Pa -1.284 1.231 3.034
N -0.946 0.546 5.255
N 0.068 -0.691 2.463
N -2.766 -4.773 -1.033
N -3.107 -0.191 2.617
Pa -1.856 -2.114 2.111
N -0.605 -4.036 1.604
N -2.198 -1.455 -0.118
```

Properties
The energy relative to the elements, uncorrected comes out at -1.47 eV/atom. The value obtained for the density is 9.080 g/cm³. The value obtained for the magnetization is 0.0 μB/cell.


No. 5
The following is a PBE calculation of a relaxed Sm2DyMgN crystal, from Alexandria via LeMat-Bulk.

```
5
Lattice="-3.585 1.837 2.624 2.296 -1.539 4.214 2.450 4.396 0.271" Properties=species:S:1:pos:R:3 pbc="T T T"
Sm 1.148 -0.770 2.107
N 0.000 0.000 0.000
Dy -1.792 0.918 1.312
Mg 0.581 2.347 3.554
Sm 1.225 2.198 0.135
```

Properties
The energy relative to the elements, uncorrected comes out at -0.66 eV/atom. The value obtained for the density is 6.821 g/cm³. The value obtained for the magnetization is 0.0 μB/cell.


No. 6
The following is a PBE calculation of a relaxed NaSbPt crystal, from Alexandria via LeMat-Bulk.

```
12
Lattice="4.583 0.000 0.000 0.000 7.695 0.000 0.000 0.000 7.549" Properties=species:S:1:pos:R:3 pbc="T T T"
Sb 1.146 0.647 6.236
Na 1.146 6.334 3.693
Pt 1.146 3.091 5.191
Na 3.437 2.487 0.081
Na 1.146 5.208 7.468
Sb 3.437 7.049 1.312
Sb 1.146 3.201 2.462
Pt 1.146 0.756 1.417
Sb 3.437 4.494 5.087
Pt 3.437 4.604 2.358
Pt 3.437 6.939 6.132
Na 3.437 1.361 3.855
```

Properties
The energy relative to the elements, uncorrected comes out at -0.52 eV/atom. The value obtained for the density is 8.480 g/cm³. The value obtained for the magnetization is 0.0 μB/cell.


Among the records above, which one has the lowest density? MgZnSCl2


Look up the magnetization of the fourth one. 0.0 μB/cell


Which value of density does entry 6 give? 8.480 g/cm³